[1]
# BaZrCd2

BaZrCd2 after structural relaxation (PBE-GGA, Alexandria via LeMat-Bulk).

POSCAR file:
```
BaZrCd2
1.0
5.241 0.000 0.000
0.000 3.375 -0.046
0.000 0.084 6.352
Ba Cd Zr
1 2 1
direct
0.500 0.625 0.794 Ba
0.000 0.125 0.004 Cd
0.500 0.125 0.302 Cd
0.000 0.625 0.399 Zr
```

Properties
E above lowest polymorph (eV/f.u.): 0.58
Energy of formation (meV/atom): 81



[2]
# BaZrCd2

BaZrCd2 after structural relaxation (PBE-GGA, Alexandria via LeMat-Bulk).

POSCAR file:
```
BaZrCd2
1.0
6.151 0.023 0.000
2.594 5.577 0.000
-4.372 -2.800 3.298
Ba Cd Zr
1 2 1
direct
0.750 0.250 0.500 Ba
0.000 0.000 0.000 Cd
0.250 0.750 0.500 Cd
0.500 0.500 0.000 Zr
```

Properties
E above lowest polymorph (eV/f.u.): 1.36
Energy of formation (meV/atom): 276



[3]
# Ba3Ce

Ba3Ce after structural relaxation (PBE-GGA, Alexandria via LeMat-Bulk).

POSCAR file:
```
Ba3Ce
1.0
-5.339 -1.224 -4.830
-4.071 -5.621 2.273
2.192 6.092 3.380
Ba Ce
3 1
direct
0.750 0.250 0.500 Ba
0.250 0.750 0.500 Ba
0.500 0.500 0.000 Ba
0.000 0.000 0.000 Ce
```

Properties
E above lowest polymorph (eV/f.u.): 0.04
Energy of formation (meV/atom): 326



[4]
# BaCe

BaCe after structural relaxation (PBE-GGA, Alexandria via LeMat-Bulk).

POSCAR file:
```
BaCe
1.0
-2.857 2.135 -1.539
1.285 -3.158 -1.863
-4.446 -3.673 3.157
Ba Ce
1 1
direct
0.000 0.000 0.500 Ba
0.667 0.333 0.000 Ce
```

Properties
Energy of formation (meV/atom): 443



[5]
# Ba4Ce

Ba4Ce after structural relaxation (PBE-GGA, Alexandria via LeMat-Bulk).

POSCAR file:
```
Ba4Ce
1.0
-3.408 2.683 -4.951
-4.590 -4.676 0.625
-3.262 3.776 4.292
Ba Ce
4 1
direct
0.000 0.000 0.000 Ba
0.500 0.000 0.500 Ba
0.000 0.500 0.500 Ba
0.500 0.500 0.000 Ba
0.500 0.500 0.500 Ce
```

Properties
Energy of formation (meV/atom): 479



[6]
# BaCe3

BaCe3 after structural relaxation (PBE-GGA, Alexandria via LeMat-Bulk).

POSCAR file:
```
BaCe3
1.0
3.582 -6.203 0.000
3.582 6.203 0.000
0.000 0.000 5.885
Ba Ce
2 6
direct
0.333 0.667 0.750 Ba
0.667 0.333 0.250 Ba
0.134 0.268 0.250 Ce
0.732 0.866 0.250 Ce
0.134 0.866 0.250 Ce
0.866 0.732 0.750 Ce
0.268 0.134 0.750 Ce
0.866 0.134 0.750 Ce
```

Properties
Energy of formation (meV/atom): 368



[7]
# BaCe2

BaCe2 after structural relaxation (PBE-GGA, Alexandria via LeMat-Bulk).

POSCAR file:
```
BaCe2
1.0
6.801 0.000 0.000
3.401 5.890 0.000
3.401 1.963 5.553
Ba Ce
2 4
direct
0.000 0.000 0.000 Ba
0.250 0.250 0.250 Ba
0.125 0.625 0.625 Ce
0.625 0.125 0.625 Ce
0.625 0.625 0.625 Ce
0.625 0.625 0.125 Ce
```

Properties
Energy of formation (meV/atom): 414



[8]
# Ba5Ce

Ba5Ce after structural relaxation (PBE-GGA, Alexandria via LeMat-Bulk).

POSCAR file:
```
Ba5Ce
1.0
6.110 0.000 0.000
0.000 6.139 0.000
0.000 -3.070 9.099
Ba Ce
5 1
direct
0.500 0.841 0.682 Ba
0.000 0.660 0.320 Ba
0.500 0.500 0.000 Ba
0.000 0.340 0.680 Ba
0.500 0.159 0.318 Ba
0.000 0.000 0.000 Ce
```

Properties
Energy of formation (meV/atom): 219



[9]
# Ba3Ce

Ba3Ce after structural relaxation (PBE-GGA, Alexandria via LeMat-Bulk).

POSCAR file:
```
Ba3Ce
1.0
3.434 1.503 7.632
-8.335 -1.540 -0.683
1.167 -6.665 0.788
Ba Ce
6 2
direct
0.172 0.344 0.250 Ba
0.656 0.828 0.250 Ba
0.172 0.828 0.250 Ba
0.828 0.656 0.750 Ba
0.344 0.172 0.750 Ba
0.828 0.172 0.750 Ba
0.333 0.667 0.750 Ce
0.667 0.333 0.250 Ce
```

Properties
E above lowest polymorph (eV/f.u.): 0.00
Energy of formation (meV/atom): 316



[10]
# BaCeCl5

BaCeCl5 after structural relaxation (PBE-GGA, Alexandria via LeMat-Bulk).

POSCAR file:
```
BaCeCl5
1.0
5.379 -0.053 1.529
0.484 7.042 0.138
-0.028 -0.026 10.321
Ba Ce Cl
2 2 10
direct
0.325 0.250 0.349 Ba
0.675 0.750 0.651 Ba
0.077 0.250 0.846 Ce
0.923 0.750 0.154 Ce
0.207 0.398 0.071 Cl
0.197 0.503 0.619 Cl
0.374 0.750 0.252 Cl
0.184 0.997 0.619 Cl
0.278 0.898 0.929 Cl
0.722 0.102 0.071 Cl
0.816 0.003 0.381 Cl
0.626 0.250 0.748 Cl
0.803 0.497 0.381 Cl
0.793 0.602 0.929 Cl
```

Properties
Formation energy from raw total energies (eV per atom): -2.352



[11]
# BaCe2Cl11

BaCe2Cl11 after structural relaxation (PBE-GGA, Alexandria via LeMat-Bulk).

POSCAR file:
```
BaCe2Cl11
1.0
9.389 0.000 4.894
4.287 9.758 3.229
0.166 -0.043 11.135
Ba Ce Cl
2 4 22
direct
0.750 0.750 0.750 Ba
0.250 0.250 0.250 Ba
0.658 0.694 0.306 Ce
0.342 0.306 0.694 Ce
0.842 0.194 0.806 Ce
0.158 0.806 0.194 Ce
0.645 0.714 0.540 Cl
0.355 0.286 0.460 Cl
0.102 0.540 0.714 Cl
0.855 0.960 0.786 Cl
0.898 0.460 0.286 Cl
0.145 0.040 0.214 Cl
0.398 0.786 0.960 Cl
0.602 0.214 0.040 Cl
0.500 0.500 0.500 Cl
0.000 0.000 0.000 Cl
0.895 0.808 0.192 Cl
0.105 0.192 0.808 Cl
0.605 0.308 0.692 Cl
0.395 0.692 0.308 Cl
0.482 0.954 0.310 Cl
0.518 0.046 0.690 Cl
0.254 0.310 0.954 Cl
0.018 0.190 0.546 Cl
0.746 0.690 0.046 Cl
0.982 0.810 0.454 Cl
0.246 0.546 0.190 Cl
0.754 0.454 0.810 Cl
```

Properties
Formation energy from raw total energies (eV per atom): -1.830



[12]
# BaCeCu2Cl8

BaCeCu2Cl8 after structural relaxation (PBE-GGA, Alexandria via LeMat-Bulk).

POSCAR file:
```
BaCeCu2Cl8
1.0
6.299 0.000 0.000
-3.150 5.455 0.000
0.000 0.000 9.434
Ba Ce Cu Cl
1 1 2 8
direct
0.000 0.000 0.000 Ba
0.000 0.000 0.500 Ce
0.667 0.333 0.237 Cu
0.333 0.667 0.763 Cu
0.333 0.667 0.000 Cl
0.317 0.327 0.316 Cl
0.673 0.991 0.316 Cl
0.667 0.333 0.000 Cl
0.327 0.009 0.684 Cl
0.683 0.673 0.684 Cl
0.991 0.317 0.684 Cl
0.009 0.683 0.316 Cl
```

Properties
Formation energy from raw total energies (eV per atom): -1.552



[13]
# KBaCeCl6

KBaCeCl6 after structural relaxation (PBE-GGA, Alexandria via LeMat-Bulk).

POSCAR file:
```
KBaCeCl6
1.0
-2.707 1.263 -7.043
7.060 -2.794 0.940
-4.733 -12.073 -0.346
K Ba Ce Cl
2 2 2 12
direct
0.333 0.667 0.250 K
0.667 0.333 0.750 K
0.000 0.000 0.000 Ba
0.000 0.000 0.500 Ba
0.667 0.333 0.250 Ce
0.333 0.667 0.750 Ce
0.677 0.639 0.130 Cl
0.962 0.323 0.130 Cl
0.323 0.962 0.630 Cl
0.038 0.677 0.870 Cl
0.361 0.323 0.370 Cl
0.962 0.639 0.370 Cl
0.639 0.962 0.870 Cl
0.677 0.038 0.370 Cl
0.038 0.361 0.630 Cl
0.361 0.038 0.130 Cl
0.639 0.677 0.630 Cl
0.323 0.361 0.870 Cl
```

Properties
Formation energy from raw total energies (eV per atom): -2.253



[14]
# Ba3Ce2Cl2O5

Ba3Ce2Cl2O5 after structural relaxation (PBE-GGA, Alexandria via LeMat-Bulk).

POSCAR file:
```
Ba3Ce2Cl2O5
1.0
4.491 0.000 0.000
0.000 4.491 0.000
-2.246 -2.246 13.216
Ba Ce Cl O
3 2 2 5
direct
0.167 0.167 0.334 Ba
0.833 0.833 0.666 Ba
0.000 0.000 0.000 Ba
0.414 0.414 0.827 Ce
0.586 0.586 0.173 Ce
0.707 0.707 0.415 Cl
0.293 0.293 0.585 Cl
0.605 0.105 0.210 O
0.395 0.895 0.790 O
0.105 0.605 0.210 O
0.895 0.395 0.790 O
0.500 0.500 0.000 O
```

Properties
Formation energy from raw total energies (eV per atom): -2.844



[15]
# Rb2BaCeCl8

Rb2BaCeCl8 after structural relaxation (PBE-GGA, Alexandria via LeMat-Bulk).

POSCAR file:
```
Rb2BaCeCl8
1.0
-2.451 3.602 3.137
-2.767 -6.388 3.371
7.784 -0.101 6.198
Rb Ba Ce Cl
2 1 1 8
direct
0.500 0.500 0.750 Rb
0.500 0.500 0.250 Rb
0.000 0.000 0.500 Ba
0.000 0.000 0.000 Ce
0.055 0.788 0.211 Cl
0.562 0.796 0.000 Cl
0.945 0.212 0.211 Cl
0.945 0.212 0.789 Cl
0.438 0.204 0.000 Cl
0.055 0.788 0.789 Cl
0.481 0.766 0.500 Cl
0.519 0.234 0.500 Cl
```

Properties
Formation energy from raw total energies (eV per atom): -2.087



[16]
# BaCeTl2Cl8

BaCeTl2Cl8 after structural relaxation (PBE-GGA, Alexandria via LeMat-Bulk).

POSCAR file:
```
BaCeTl2Cl8
1.0
6.904 -0.136 -0.004
-0.115 7.262 -0.008
0.005 0.011 9.179
Ba Ce Tl Cl
1 1 2 8
direct
0.000 0.000 0.500 Ba
0.000 0.000 0.000 Ce
0.500 0.500 0.748 Tl
0.500 0.500 0.252 Tl
0.135 0.791 0.216 Cl
0.683 0.798 0.000 Cl
0.865 0.209 0.216 Cl
0.865 0.209 0.784 Cl
0.317 0.202 0.000 Cl
0.135 0.791 0.784 Cl
0.652 0.735 0.500 Cl
0.348 0.265 0.500 Cl
```

Properties
Formation energy from raw total energies (eV per atom): -1.776



[17]
# BaCe2Co

BaCe2Co after structural relaxation (PBE-GGA, Alexandria via LeMat-Bulk).

POSCAR file:
```
BaCe2Co
1.0
3.865 0.000 0.000
1.933 3.347 0.000
1.933 1.116 10.351
Co Ba Ce
1 1 2
direct
0.500 0.500 0.500 Co
0.000 0.000 0.000 Ba
0.119 0.119 0.643 Ce
0.881 0.881 0.357 Ce
```

Properties
Energy of formation (meV/atom): 117



[18]
# BaCeCoN3

BaCeCoN3 after structural relaxation (PBE-GGA, Alexandria via LeMat-Bulk).

POSCAR file:
```
BaCeCoN3
1.0
3.565 0.000 0.000
0.000 7.780 0.667
0.000 -2.279 7.440
Ba Ce Co N
2 2 2 6
direct
0.750 0.818 0.796 Ba
0.250 0.182 0.204 Ba
0.250 0.647 0.167 Ce
0.750 0.353 0.833 Ce
0.250 0.073 0.595 Co
0.750 0.927 0.405 Co
0.250 0.853 0.458 N
0.750 0.855 0.162 N
0.750 0.441 0.135 N
0.750 0.147 0.542 N
0.250 0.559 0.865 N
0.250 0.145 0.838 N
```

Properties
Formation energy from raw total energies (eV per atom): -0.709



[19]
# BaCe2CoN4

BaCe2CoN4 after structural relaxation (PBE-GGA, Alexandria via LeMat-Bulk).

POSCAR file:
```
BaCe2CoN4
1.0
3.604 0.000 0.000
-1.802 6.005 0.000
0.000 0.000 11.970
Ba Ce Co N
2 4 2 8
direct
0.095 0.190 0.750 Ba
0.905 0.810 0.250 Ba
0.366 0.732 0.552 Ce
0.634 0.268 0.052 Ce
0.634 0.268 0.448 Ce
0.366 0.732 0.948 Ce
0.819 0.639 0.750 Co
0.181 0.361 0.250 Co
0.251 0.501 0.110 N
0.749 0.499 0.610 N
0.749 0.499 0.890 N
0.251 0.501 0.390 N
0.000 0.000 0.500 N
0.000 0.000 0.000 N
0.385 0.770 0.750 N
0.615 0.230 0.250 N
```

Properties
Formation energy from raw total energies (eV per atom): -0.976



Number 1: magnetic moment 0.0 μB/f.u.. Number 2: magnetic moment 0.0 μB/f.u.. Number 3: magnetic moment 2.0 μB/f.u.. Number 4: magnetic moment 1.9 μB/f.u.. Number 5: magnetic moment 1.5 μB/f.u.. Number 6: magnetic moment 0.0 μB/f.u.. Number 7: magnetic moment 3.2 μB/f.u.. Number 8: magnetic moment 2.6 μB/f.u.. Number 9: magnetic moment 1.8 μB/f.u.. Number 10: magnetic moment 1.0 μB/f.u.. Number 11: magnetic moment 0.9 μB/f.u.. Number 12: magnetic moment 0.1 μB/f.u.. Number 13: magnetic moment 1.0 μB/f.u.. Number 14: magnetic moment 1.9 μB/f.u.. Number 15: magnetic moment 0.0 μB/f.u.. Number 16: magnetic moment 0.0 μB/f.u.. Number 17: magnetic moment 1.4 μB/f.u.. Number 18: magnetic moment 0.0 μB/f.u.. Number 19: magnetic moment 0.6 μB/f.u..